# 1
A geometry-optimized Li3FeO2F2 structure. Source: the Alexandria database, functional PBE+U.

a = 5.0618 Å, b = 5.9387 Å, c = 5.0491 Å
α = 90.00°, β = 107.63°, γ = 90.00°
Element x y z (fractional)
1 Li 0.0000 0.1128 0.2500
2 Li 0.0000 0.3568 0.7500
3 Li 0.0000 0.6432 0.2500
4 Li 0.0000 0.8872 0.7500
5 Li 0.5000 0.3682 0.2500
6 Li 0.5000 0.6318 0.7500
7 Fe 0.5000 0.1068 0.7500
8 Fe 0.5000 0.8932 0.2500
9 O 0.2680 0.1174 0.9873
10 O 0.2680 0.8826 0.4873
11 O 0.7320 0.1174 0.5127
12 O 0.7320 0.8826 0.0127
13 F 0.2536 0.3791 0.5083
14 F 0.2536 0.6209 0.0083
15 F 0.7464 0.3791 0.9917
16 F 0.7464 0.6209 0.4917

Output
Spin magnetization = 2.99 μB/f.u.
Total DFT energy (no corrections) = -5.289 eV per atom

***

# 2
A geometry-optimized LiFeOF structure. Source: the Alexandria database, functional PBE+U.

a = 4.0884 Å, b = 4.4001 Å, c = 4.4995 Å
α = 90.00°, β = 90.00°, γ = 90.00°
Element x y z (fractional)
1 Li 0.0000 0.0000 0.0000
2 Li 0.5000 0.5000 0.0000
3 Fe 0.0000 0.5000 0.5000
4 Fe 0.5000 0.0000 0.5000
5 O 0.0000 0.0000 0.5000
6 O 0.5000 0.5000 0.5000
7 F 0.0000 0.5000 0.0000
8 F 0.5000 0.0000 0.0000

Output
Spin magnetization = 4.00 μB/f.u.
D(E_F) = 0.0 states/eV per cell
Total DFT energy (no corrections) = -5.670 eV per atom
Excess energy over the best structure of this formula in the dataset = 0.000 eV/atom

***

# 3
A geometry-optimized Li4FeO3F structure. Source: the Alexandria database, functional PBE+U.

a = 5.2930 Å, b = 5.4177 Å, c = 7.8284 Å
α = 69.77°, β = 79.76°, γ = 65.76°
Element x y z (fractional)
1 Li 0.0000 0.0000 0.0000
2 Li 0.0024 0.4813 0.1533
3 Li 0.0109 0.2613 0.5745
4 Li 0.0469 0.7175 0.7999
5 Li 0.4708 0.3465 0.3671
6 Li 0.5047 0.7528 0.5794
7 Li 0.5142 0.6018 0.0314
8 Li 0.5248 0.0520 0.1599
9 Fe 0.0408 0.9312 0.3425
10 Fe 0.4936 0.1188 0.7898
11 O 0.2093 0.6832 0.2071
12 O 0.2536 0.9529 0.7750
13 O 0.2767 0.0809 0.3830
14 O 0.6076 0.3524 0.5855
15 O 0.7404 0.8421 0.9714
16 O 0.7734 0.2296 0.1815
17 F 0.2765 0.3589 0.9550
18 F 0.9124 0.7035 0.5835

Output
Spin magnetization = 5.00 μB/f.u.
D(E_F) = 0.0 states/eV per cell
Total DFT energy (no corrections) = -5.289 eV per atom
Excess energy over the best structure of this formula in the dataset = 0.024 eV/atom

***

# 4
A geometry-optimized Li3Fe4O3F9 structure. Source: the Alexandria database, functional PBE+U.

a = 5.8859 Å, b = 5.9994 Å, c = 6.1339 Å
α = 99.73°, β = 99.93°, γ = 99.79°
Element x y z (fractional)
1 Li 0.0000 0.0000 0.0000
2 Li 0.1482 0.3241 0.5995
3 Li 0.3869 0.9373 0.6986
4 Fe 0.2800 0.6709 0.2099
5 Fe 0.5348 0.1914 0.2767
6 Fe 0.7453 0.4836 0.9502
7 Fe 0.7970 0.7387 0.4463
8 O 0.5336 0.4983 0.1813
9 O 0.5577 0.9242 0.3991
10 O 0.9554 0.7310 0.1920
11 F 0.0396 0.9928 0.6418
12 F 0.0745 0.4396 0.9124
13 F 0.2120 0.1949 0.2947
14 F 0.2541 0.6246 0.5160
15 F 0.3274 0.9034 0.9989
16 F 0.4805 0.2845 0.7279
17 F 0.7207 0.7298 0.7724
18 F 0.7559 0.1754 0.0588
19 F 0.8166 0.4012 0.4946

Output
Spin magnetization = 10.00 μB/f.u.
D(E_F) = 0.0 states/eV per cell
Total DFT energy (no corrections) = -5.471 eV per atom
Excess energy over the best structure of this formula in the dataset = 0.000 eV/atom

***

# 5
A geometry-optimized Li2FeOF3 structure. Source: the Alexandria database, functional PBE+U.

a = 5.9608 Å, b = 5.9608 Å, c = 5.9154 Å
α = 118.95°, β = 118.95°, γ = 58.25°
Element x y z (fractional)
1 Li 0.0000 0.0000 0.0000
2 Li 0.3461 0.8706 0.5852
3 Li 0.3539 0.3539 0.5821
4 Li 0.8706 0.3461 0.5852
5 Fe 0.3582 0.3582 0.1003
6 Fe 0.7578 0.7578 0.2198
7 O 0.1409 0.6044 0.3382
8 O 0.6044 0.1409 0.3382
9 F 0.1220 0.1220 0.8465
10 F 0.1296 0.1296 0.3800
11 F 0.1324 0.5932 0.8634
12 F 0.5932 0.1324 0.8634
13 F 0.6153 0.6153 0.8340
14 F 0.6190 0.6190 0.3461

Output
Spin magnetization = 4.02 μB/f.u.
Total DFT energy (no corrections) = -5.246 eV per atom
Excess energy over the best structure of this formula in the dataset = 0.083 eV/atom

***

# 6
A geometry-optimized LiFeOF2 structure. Source: the Alexandria database, functional PBE+U.

a = 3.5035 Å, b = 3.5035 Å, c = 3.9101 Å
α = 90.00°, β = 90.00°, γ = 90.00°
Element x y z (fractional)
1 Li 0.0000 0.0000 0.0000
2 Fe 0.5000 0.5000 0.5000
3 O 0.0000 0.0000 0.5000
4 F 0.0000 0.5000 0.0000
5 F 0.5000 0.0000 0.0000

Output
Spin magnetization = 5.00 μB/f.u.
D(E_F) = 2.8 states/eV per cell
Total DFT energy (no corrections) = -4.700 eV per atom
Excess energy over the best structure of this formula in the dataset = 0.869 eV/atom

***

# 7
A geometry-optimized Li6FeO5F structure. Source: the Alexandria database, functional PBE+U.

a = 5.4661 Å, b = 5.4734 Å, c = 5.6164 Å
α = 62.67°, β = 64.47°, γ = 62.81°
Element x y z (fractional)
1 Li 0.0000 0.0000 0.0000
2 Li 0.0181 0.8395 0.5398
3 Li 0.2106 0.3972 0.3236
4 Li 0.4202 0.2120 0.7613
5 Li 0.5728 0.6321 0.7309
6 Li 0.7698 0.4055 0.1770
7 Fe 0.5238 0.9036 0.2170
8 O 0.1541 0.1243 0.1698
9 O 0.4151 0.5728 0.4558
10 O 0.5946 0.2591 0.0450
11 O 0.7105 0.8032 0.8918
12 O 0.8476 0.7237 0.3505
13 F 0.2591 0.0377 0.6479

Output
Spin magnetization = 2.96 μB/f.u.
D(E_F) = 4.8 states/eV per cell
Total DFT energy (no corrections) = -5.110 eV per atom
Excess energy over the best structure of this formula in the dataset = 0.000 eV/atom

***

# 8
A geometry-optimized Li5FeO4F structure. Source: the Alexandria database, functional PBE+U.

a = 5.2041 Å, b = 8.9552 Å, c = 5.2521 Å
α = 90.00°, β = 111.96°, γ = 90.00°
Element x y z (fractional)
1 Li 0.1713 0.0000 0.0181
2 Li 0.1754 0.7137 0.9064
3 Li 0.2285 0.8177 0.4121
4 Li 0.2983 0.1905 0.4994
5 Li 0.3154 0.2993 0.0443
6 Li 0.6846 0.7993 0.9557
7 Li 0.7017 0.6905 0.5006
8 Li 0.7715 0.3177 0.5879
9 Li 0.8246 0.2137 0.0936
10 Li 0.8287 0.5000 0.9819
11 Fe 0.2482 0.4874 0.5799
12 Fe 0.7518 0.9874 0.4201
13 O 0.0535 0.0201 0.3349
14 O 0.1065 0.3690 0.2795
15 O 0.4287 0.6638 0.6957
16 O 0.4848 0.8511 0.2038
17 O 0.5152 0.3511 0.7962
18 O 0.5713 0.1638 0.3043
19 O 0.8935 0.8690 0.7205
20 O 0.9465 0.5201 0.6651
21 F 0.0178 0.1805 0.8298
22 F 0.9822 0.6805 0.1702

Output
Spin magnetization = 4.00 μB/f.u.
Total DFT energy (no corrections) = -5.228 eV per atom

***

# 9
A geometry-optimized LiFe8O12F4 structure. Source: the Alexandria database, functional PBE+U.

a = 5.9529 Å, b = 6.3443 Å, c = 8.0441 Å
α = 88.98°, β = 68.33°, γ = 89.83°
Element x y z (fractional)
1 Li 0.0000 0.0000 0.0000
2 Fe 0.1309 0.2528 0.7232
3 Fe 0.1307 0.2581 0.2460
4 Fe 0.3747 0.7589 0.2497
5 Fe 0.4060 0.7429 0.6880
6 Fe 0.5940 0.2571 0.3120
7 Fe 0.6253 0.2411 0.7503
8 Fe 0.8693 0.7419 0.7540
9 Fe 0.8691 0.7472 0.2768
10 O 0.1309 0.5531 0.7408
11 O 0.1305 0.9377 0.7448
12 O 0.1838 0.7683 0.1050
13 O 0.3773 0.0660 0.2572
14 O 0.3789 0.4502 0.2513
15 O 0.4648 0.2504 0.5730
16 O 0.5352 0.7496 0.4270
17 O 0.6211 0.5498 0.7487
18 O 0.6227 0.9340 0.7428
19 O 0.8162 0.2317 0.8950
20 O 0.8695 0.0623 0.2552
21 O 0.8691 0.4469 0.2592
22 F 0.0284 0.7505 0.4577
23 F 0.2708 0.2301 0.9390
24 F 0.7292 0.7699 0.0610
25 F 0.9716 0.2495 0.5423

Output
Spin magnetization = 33.00 μB/f.u.
D(E_F) = 4.8 states/eV per cell
Total DFT energy (no corrections) = -6.016 eV per atom
Excess energy over the best structure of this formula in the dataset = 0.000 eV/atom

***

# 10
A geometry-optimized Li4FeO3F structure. Source: the Alexandria database, functional PBE+U.

a = 5.2023 Å, b = 5.3262 Å, c = 8.0106 Å
α = 70.99°, β = 80.91°, γ = 68.49°
Element x y z (fractional)
1 Li 0.2098 0.3231 0.2732
2 Li 0.2340 0.7574 0.5101
3 Li 0.2489 0.5422 0.9501
4 Li 0.2552 0.0220 0.0773
5 Li 0.7448 0.9780 0.9227
6 Li 0.7511 0.4578 0.0499
7 Li 0.7660 0.2426 0.4899
8 Li 0.7902 0.6769 0.7268
9 Fe 0.2167 0.0977 0.7387
10 Fe 0.7833 0.9023 0.2613
11 O 0.0250 0.0474 0.3146
12 O 0.0419 0.3390 0.8733
13 O 0.4823 0.8042 0.8874
14 O 0.5177 0.1958 0.1126
15 O 0.9581 0.6610 0.1267
16 O 0.9750 0.9526 0.6854
17 F 0.3490 0.3275 0.5034
18 F 0.6510 0.6725 0.4966

Output
Spin magnetization = 5.00 μB/f.u.
D(E_F) = 0.0 states/eV per cell
Total DFT energy (no corrections) = -5.283 eV per atom
Excess energy over the best structure of this formula in the dataset = 0.029 eV/atom

***

# 11
A geometry-optimized LiFe2OF3 structure. Source: the Alexandria database, functional PBE+U.

a = 5.1819 Å, b = 6.0596 Å, c = 6.1202 Å
α = 61.03°, β = 89.72°, γ = 89.67°
Element x y z (fractional)
1 Li 0.0270 0.3284 0.3331
2 Li 0.9730 0.6716 0.6669
3 Fe 0.0000 0.0000 0.0000
4 Fe 0.5000 0.0000 0.5000
5 Fe 0.5000 0.5000 0.0000
6 Fe 0.5000 0.5000 0.5000
7 O 0.3356 0.6695 0.6691
8 O 0.6644 0.3305 0.3309
9 F 0.2122 0.6486 0.1790
10 F 0.2138 0.1684 0.1643
11 F 0.2219 0.1609 0.6488
12 F 0.7781 0.8391 0.3512
13 F 0.7862 0.8316 0.8357
14 F 0.7878 0.3514 0.8210

Output
Spin magnetization = 7.00 μB/f.u.
D(E_F) = 0.0 states/eV per cell
Total DFT energy (no corrections) = -5.541 eV per atom
Excess energy over the best structure of this formula in the dataset = 0.114 eV/atom

***

# 12
A geometry-optimized LiFe6O4F8 structure. Source: the Alexandria database, functional PBE+U.

a = 5.7671 Å, b = 5.8554 Å, c = 7.8243 Å
α = 68.17°, β = 69.57°, γ = 70.58°
Element x y z (fractional)
1 Li 0.0000 0.0000 0.0000
2 Fe 0.0197 0.4727 0.5007
3 Fe 0.3034 0.8274 0.6712
4 Fe 0.3848 0.7959 0.1766
5 Fe 0.6320 0.1761 0.8207
6 Fe 0.6480 0.1746 0.3429
7 Fe 0.9989 0.5170 0.9874
8 O 0.3137 0.1700 0.4978
9 O 0.3486 0.4812 0.8362
10 O 0.6662 0.4967 0.1630
11 O 0.9478 0.8673 0.8295
12 F 0.0607 0.1153 0.1741
13 F 0.0877 0.6282 0.1885
14 F 0.2428 0.7216 0.4729
15 F 0.3838 0.9376 0.8745
16 F 0.6229 0.0379 0.1434
17 F 0.7092 0.7886 0.5093
18 F 0.7681 0.2570 0.5200
19 F 0.9193 0.3613 0.8176

Output
Spin magnetization = 27.01 μB/f.u.
D(E_F) = 0.0 states/eV per cell
Total DFT energy (no corrections) = -5.785 eV per atom
Excess energy over the best structure of this formula in the dataset = 0.003 eV/atom

***

# 13
A geometry-optimized LiFe8O14F2 structure. Source: the Alexandria database, functional PBE+U.

a = 5.0574 Å, b = 5.0674 Å, c = 11.5511 Å
α = 90.24°, β = 90.06°, γ = 100.21°
Element x y z (fractional)
1 Li 0.0000 0.0000 0.0000
2 Fe 0.2965 0.6899 0.7448
3 Fe 0.2983 0.6760 0.4915
4 Fe 0.3164 0.6698 0.9938
5 Fe 0.3254 0.7130 0.2452
6 Fe 0.7091 0.2644 0.1250
7 Fe 0.7242 0.2652 0.8642
8 Fe 0.7272 0.2573 0.6134
9 Fe 0.8680 0.0918 0.3764
10 O 0.1284 0.8601 0.3679
11 O 0.1510 0.8343 0.8812
12 O 0.1662 0.8416 0.1165
13 O 0.4653 0.5155 0.6129
14 O 0.4657 0.5423 0.3596
15 O 0.4746 0.5094 0.8697
16 O 0.4764 0.5152 0.1170
17 O 0.5765 0.0340 0.7394
18 O 0.6045 0.9994 0.4978
19 O 0.6163 0.0168 0.9913
20 O 0.6321 0.0072 0.2474
21 O 0.9528 0.4089 0.7391
22 O 0.9701 0.3753 0.9948
23 O 0.9791 0.3721 0.4929
24 F 0.0038 0.3804 0.2447
25 F 0.1184 0.8598 0.6155

Output
Spin magnetization = 1.04 μB/f.u.
D(E_F) = 5.9 states/eV per cell
Total DFT energy (no corrections) = -6.085 eV per atom
Excess energy over the best structure of this formula in the dataset = 0.000 eV/atom

***

# 14
A geometry-optimized LiFe5O5F structure. Source: the Alexandria database, functional PBE+U.

a = 3.5395 Å, b = 3.5395 Å, c = 13.4154 Å
α = 90.15°, β = 90.15°, γ = 61.44°
Element x y z (fractional)
1 Li 0.0000 0.0000 0.0000
2 Fe 0.0121 0.0121 0.3306
3 Fe 0.3281 0.3281 0.8335
4 Fe 0.3437 0.3437 0.1660
5 Fe 0.3449 0.3449 0.4992
6 Fe 0.9964 0.9964 0.6695
7 O 0.0015 0.0015 0.8390
8 O 0.3391 0.3391 0.3318
9 O 0.3469 0.3469 0.6677
10 O 0.9915 0.9915 0.1608
11 O 0.9946 0.9946 0.4999
12 F 0.3382 0.3382 0.9996

Output
Spin magnetization = 20.00 μB/f.u.
Total DFT energy (no corrections) = -6.301 eV per atom

***

# 15
A geometry-optimized Li6FeO5F structure. Source: the Alexandria database, functional PBE+U.

a = 5.5048 Å, b = 5.6385 Å, c = 10.5563 Å
α = 88.82°, β = 90.00°, γ = 60.99°
Element x y z (fractional)
1 Li 0.0000 0.0000 0.0000
2 Li 0.0013 0.0568 0.3720
3 Li 0.0169 0.3985 0.4866
4 Li 0.2451 0.3982 0.9975
5 Li 0.2978 0.0046 0.6643
6 Li 0.3195 0.0260 0.1640
7 Li 0.3625 0.6417 0.4868
8 Li 0.6011 0.0589 0.8694
9 Li 0.6296 0.3628 0.1683
10 Li 0.6444 0.6547 0.9715
11 Li 0.6594 0.3349 0.6615
12 Li 0.6651 0.9967 0.4970
13 Fe 0.9698 0.6949 0.2338
14 Fe 0.9861 0.6749 0.7336
15 O 0.0087 0.7095 0.4038
16 O 0.2623 0.3881 0.1836
17 O 0.3030 0.6530 0.6796
18 O 0.3325 0.0198 0.9690
19 O 0.6619 0.9804 0.6905
20 O 0.6782 0.6935 0.1559
21 O 0.7118 0.3205 0.4721
22 O 0.9578 0.7164 0.9036
23 O 0.9659 0.0138 0.1922
24 O 0.9883 0.3815 0.6672
25 F 0.3193 0.0103 0.4645
26 F 0.6362 0.3244 0.9648

Output
Spin magnetization = 3.00 μB/f.u.
D(E_F) = 1.4 states/eV per cell
Total DFT energy (no corrections) = -5.101 eV per atom
Excess energy over the best structure of this formula in the dataset = 0.009 eV/atom

***

# 16
A geometry-optimized Li3Fe4O3F9 structure. Source: the Alexandria database, functional PBE+U.

a = 5.9427 Å, b = 6.0060 Å, c = 6.0463 Å
α = 98.65°, β = 98.94°, γ = 98.41°
Element x y z (fractional)
1 Li 0.0000 0.0000 0.0000
2 Li 0.0846 0.2707 0.5349
3 Li 0.2441 0.5002 0.0410
4 Fe 0.3894 0.8581 0.6646
5 Fe 0.5346 0.2069 0.2761
6 Fe 0.6962 0.4204 0.7775
7 Fe 0.7849 0.6818 0.3034
8 O 0.4883 0.1536 0.5920
9 O 0.5896 0.4325 0.0659
10 O 0.7917 0.4418 0.4791
11 F 0.0070 0.6832 0.0946
12 F 0.0616 0.8798 0.5408
13 F 0.2128 0.2706 0.2537
14 F 0.2815 0.5502 0.7172
15 F 0.3494 0.9792 0.9774
16 F 0.4608 0.7296 0.3637
17 F 0.6953 0.7765 0.7880
18 F 0.7725 0.0070 0.2319
19 F 0.9574 0.2577 0.8407

Output
Spin magnetization = 20.00 μB/f.u.
D(E_F) = 0.0 states/eV per cell
Total DFT energy (no corrections) = -5.467 eV per atom
Excess energy over the best structure of this formula in the dataset = 0.004 eV/atom

***

# 17
A geometry-optimized Li5Fe3O2F10 structure. Source: the Alexandria database, functional PBE+U.

a = 5.1408 Å, b = 5.5489 Å, c = 8.9582 Å
α = 106.60°, β = 90.05°, γ = 116.93°
Element x y z (fractional)
1 Li 0.0000 0.0000 0.0000
2 Li 0.0959 0.1592 0.3617
3 Li 0.5885 0.0621 0.5140
4 Li 0.6856 0.2106 0.8525
5 Li 0.7914 0.5393 0.2683
6 Fe 0.3221 0.5871 0.7631
7 Fe 0.3442 0.6393 0.1233
8 Fe 0.8566 0.6608 0.6180
9 O 0.7375 0.8488 0.7973
10 O 0.9107 0.4074 0.7120
11 F 0.2796 0.8639 0.3094
12 F 0.2988 0.8474 0.9851
13 F 0.2999 0.8882 0.6604
14 F 0.3555 0.3632 0.2128
15 F 0.3687 0.3837 0.9118
16 F 0.4012 0.3690 0.5599
17 F 0.7721 0.8477 0.1591
18 F 0.8100 0.8481 0.4667
19 F 0.8621 0.3716 0.4114
20 F 0.9172 0.3775 0.0678

Output
Spin magnetization = 15.00 μB/f.u.
D(E_F) = 0.0 states/eV per cell
Total DFT energy (no corrections) = -5.248 eV per atom
Excess energy over the best structure of this formula in the dataset = 0.000 eV/atom